i) Density functional theory data (PBE-GGA) for a relaxed structure of Mg4Cd7In.

Output
The crystal system is triclinic.

a b c (Å): 6.178 7.080 7.186
angles (deg): 72.47 74.74 65.49
Space group P-1 (No. 2)
One atom of each set of equivalent atoms:
Mg (0.091, 0.171, 0.333) x2
Mg (0.335, 0.661, 0.327) x2
Cd (0.000, 0.000, 0.000) x1
Cd (0.163, 0.339, 0.664) x2
Cd (0.250, 0.504, 0.997) x2
Cd (0.402, 0.832, 0.651) x2
In (0.500, 0.000, 0.000) x1



ii) Density functional theory data (PBE-GGA) for a relaxed structure of Mg4Cd7In.

Output
The crystal system is monoclinic.

a b c (Å): 11.498 5.423 10.883
angles (deg): 90.00 120.40 90.00
Space group C2/m (No. 12)
One atom of each set of equivalent atoms:
Mg (0.083, 0.000, 0.310) x4
Mg (0.164, 0.500, 0.768) x4
Cd (0.000, 0.000, 0.000) x2
Cd (0.120, 0.500, 0.467) x4
Cd (0.173, 0.000, 0.629) x4
Cd (0.208, 0.000, 0.917) x4
In (0.000, 0.500, 0.000) x2



Here are the energies relative to the best structure, in meV/atom: i) 0; ii) 89.